Entry 1:
{
  "formula": "SbPbAu2",
  "functional": "meta-GGA SCAN",
  "state": "single point on PBEsol structure",
  "e_form_raw_ev_per_atom": -0.108,
  "total_energy_ev_per_atom": -62.95,
  "m_tot_mub_per_cell": 0.00,
  "lattice": [[-4.0549, 0.7592, -0.5338], [1.9944, -2.6409, -2.6985], [-1.3360, -3.3287, 5.4140]],
  "species": ["Pb", "Sb", "Au", "Au"],
  "frac_coords": [[0.0000, 0.0000, 0.5000], [0.5000, 0.0000, 0.0000], [0.7587, 0.5173, 0.7776], [0.2413, 0.4827, 0.2224]]
}

***

Entry 2:
{
  "formula": "ZrScPt2",
  "functional": "meta-GGA SCAN",
  "state": "single point on PBEsol structure",
  "total_energy_ev_per_atom": -47.73,
  "m_tot_mub_per_cell": 0.00,
  "delta_e_f_mev_per_atom": -1402,
  "lattice": [[3.3625, 0.0000, 0.0000], [0.0000, 4.3183, 0.0000], [-1.6812, 0.0000, 5.0528]],
  "species": ["Sc", "Zr", "Pt", "Pt"],
  "frac_coords": [[0.1046, 0.0000, 0.2092], [0.3889, 0.5000, 0.7779], [0.8374, 0.0000, 0.6748], [0.6564, 0.5000, 0.3129]]
}